Record 1
Computed, not measured: a relaxed structure of ZrSe2Br at the GGA-PBE level of DFT.

Cell and atoms, written as extended XYZ:
```
4
Lattice="3.258 0.000 0.000 0.000 3.258 0.000 0.000 0.000 10.308" Properties=species:S:1:pos:R:3 pbc="T T T"
Zr 0.000 0.000 0.000
Se 0.000 0.000 5.390
Se 1.629 1.629 8.812
Br 1.629 1.629 1.847
```

Properties
Relative energy among the computed polymorphs, eV per atom: 0.4172

---

Record 2
Computed, not measured: a relaxed structure of Zr3Se2Br4 at the GGA-PBE level of DFT.

Cell and atoms, written as extended XYZ:
```
9
Lattice="3.624 0.000 0.000 -1.812 3.138 0.000 0.000 0.000 22.215" Properties=species:S:1:pos:R:3 pbc="T T T"
Zr 0.000 0.000 0.000
Zr 0.000 2.092 7.106
Zr 0.000 2.092 15.108
Se 0.000 2.092 1.720
Se 0.000 2.092 20.495
Br 0.000 0.000 5.301
Br 0.000 0.000 8.924
Br 0.000 0.000 13.291
Br 0.000 0.000 16.913
```

---

Record 3
Computed, not measured: a relaxed structure of SiBr at the GGA-PBE level of DFT.

Cell and atoms, written as extended XYZ:
```
2
Lattice="1.728 0.997 4.375 -1.728 0.997 4.375 0.000 -1.995 4.375" Properties=species:S:1:pos:R:3 pbc="T T T"
Si 0.000 0.000 0.000
Br 0.000 0.000 6.563
```

Properties
Relative energy among the computed polymorphs, eV per atom: 0.9551

---

Record 4
Computed, not measured: a relaxed structure of Si23Br4 at the GGA-PBE level of DFT.

Cell and atoms, written as extended XYZ:
```
54
Lattice="10.245 0.000 0.000 0.000 10.245 0.000 0.000 0.000 10.245" Properties=species:S:1:pos:R:3 pbc="T T T"
Si 0.000 1.188 3.179
Si 0.000 1.188 7.066
Si 0.000 2.561 5.123
Si 0.000 7.684 5.123
Si 0.000 9.057 3.179
Si 0.000 9.057 7.066
Si 1.188 3.179 0.000
Si 1.188 7.066 0.000
Si 1.874 1.874 1.874
Si 1.874 1.874 8.372
Si 1.874 8.372 1.874
Si 1.874 8.372 8.372
Si 1.943 3.935 5.123
Si 1.943 6.310 5.123
Si 2.561 5.123 0.000
Si 3.179 0.000 1.188
Si 3.179 0.000 9.057
Si 3.249 3.249 3.249
Si 3.249 3.249 6.996
Si 3.249 6.996 3.249
Si 3.249 6.996 6.996
Si 3.935 5.123 1.943
Si 3.935 5.123 8.302
Si 5.123 0.000 2.561
Si 5.123 0.000 7.684
Si 5.123 1.943 3.935
Si 5.123 1.943 6.310
Si 5.123 8.302 3.935
Si 5.123 8.302 6.310
Si 6.310 5.123 1.943
Si 6.310 5.123 8.302
Si 6.996 3.249 3.249
Si 6.996 3.249 6.996
Si 6.996 6.996 3.249
Si 6.996 6.996 6.996
Si 7.066 0.000 1.188
Si 7.066 0.000 9.057
Si 7.684 5.123 0.000
Si 8.302 3.935 5.123
Si 8.302 6.310 5.123
Si 8.372 1.874 1.874
Si 8.372 1.874 8.372
Si 8.372 8.372 1.874
Si 8.372 8.372 8.372
Si 9.057 3.179 0.000
Si 9.057 7.066 0.000
Br 0.000 0.000 0.000
Br 0.000 5.123 2.561
Br 0.000 5.123 7.684
Br 2.561 0.000 5.123
Br 5.123 2.561 0.000
Br 5.123 5.123 5.123
Br 5.123 7.684 0.000
Br 7.684 0.000 5.123
```

---

The following M_tot values (in μB per formula unit) correspond, in order, to the records above: 0.00; 0.00; 0.00; 0.00.
The following uncorrected formation energy values (in eV/f.u.) correspond, in order, to the records above: -2.211; -11.279; 1.075; 1.317.